First-principles (GGA-PBE) data for crystalline Na4Ac at its relaxed geometry, as listed in Alexandria.

Summary:
**Crystal system**: cubic
**Space group**: Pm-3m, No. 221
**Calculated formation energy**: 0.800 eV/atom

a = 6.970 Å, b = 6.970 Å, c = 6.970 Å
α = 90.00°, β = 90.00°, γ = 90.00°
Fractional positions:
Na  0.000  0.000  0.000
Na  0.500  0.000  0.500
Na  0.000  0.500  0.500
Na  0.500  0.500  0.000
Ac  0.500  0.500  0.500



First-principles (GGA-PBE) data for crystalline CuSn2I at its relaxed geometry, as listed in Alexandria.

Summary:
**Crystal system**: trigonal
**Energy relative to the elements, uncorrected**: -9 meV/atom
**Space group**: R-3m, No. 166

a = 4.400 Å, b = 4.400 Å, c = 8.266 Å
α = 74.57°, β = 74.57°, γ = 60.00°
Fractional positions:
I  0.000  0.000  0.000
Sn  0.126  0.126  0.621
Sn  0.874  0.874  0.379
Cu  0.500  0.500  0.500



First-principles (GGA-PBE) data for crystalline Nd4Ge2O at its relaxed geometry, as listed in Alexandria.

Summary:
**Crystal system**: tetragonal
**Energy relative to the elements, uncorrected**: -1244 meV/atom
**Space group**: I4/mmm, No. 139

a = 4.702 Å, b = 4.702 Å, c = 8.788 Å
α = 74.48°, β = 74.48°, γ = 90.00°
Fractional positions:
Ge  0.364  0.364  0.273
Ge  0.636  0.636  0.727
Nd  0.178  0.178  0.644
Nd  0.822  0.822  0.356
Nd  0.000  0.500  0.000
Nd  0.500  0.000  0.000
O  0.000  0.000  0.000



First-principles (GGA-PBE) data for crystalline Y2HgAu at its relaxed geometry, as listed in Alexandria.

Summary:
**Crystal system**: tetragonal
**Space group**: P4/mmm, No. 123
**Calculated formation energy**: -0.684 eV/atom

a = 3.683 Å, b = 3.683 Å, c = 7.271 Å
α = 90.00°, β = 90.00°, γ = 90.00°
Fractional positions:
Y  0.000  0.000  0.760
Y  0.000  0.000  0.240
Hg  0.500  0.500  0.500
Au  0.500  0.500  0.000



First-principles (GGA-PBE) data for crystalline SbSeI2N at its relaxed geometry, as listed in Alexandria.

Summary:
**Crystal system**: tetragonal
**Energy relative to the elements, uncorrected**: 915 meV/atom
**Space group**: P4/mmm, No. 123

a = 6.197 Å, b = 6.197 Å, c = 3.956 Å
α = 90.00°, β = 90.00°, γ = 90.00°
Each line ends with the local moment (μB).
Fractional positions:
I  0.000  0.500  0.000  0.17
I  0.500  0.000  0.000  0.17
Sb  0.000  0.000  0.000  0.01
Se  0.500  0.500  0.500  0.97
N  0.000  0.000  0.500  0.06



First-principles (GGA-PBE) data for crystalline Ni5Rh6 at its relaxed geometry, as listed in Alexandria.

Summary:
**Crystal system**: triclinic
**Space group**: P-1, No. 2
**Calculated formation energy**: 0.043 eV/atom

a = 6.462 Å, b = 4.558 Å, c = 5.851 Å
α = 83.58°, β = 69.57°, γ = 61.52°
Each line ends with the local moment (μB).
Fractional positions:
Ni  0.500  0.500  0.000  0.40
Ni  0.047  0.589  0.279  0.56
Ni  0.953  0.411  0.721  0.56
Ni  0.594  0.680  0.548  0.60
Ni  0.406  0.320  0.452  0.60
Rh  0.683  0.862  0.092  0.20
Rh  0.317  0.138  0.908  0.20
Rh  0.769  0.049  0.636  0.39
Rh  0.142  0.765  0.816  0.18
Rh  0.231  0.951  0.364  0.39
Rh  0.858  0.235  0.184  0.18



First-principles (GGA-PBE) data for crystalline Na3TcCl7 at its relaxed geometry, as listed in Alexandria.

Summary:
**Crystal system**: monoclinic
**Energy relative to the elements, uncorrected**: -1282 meV/atom
**Space group**: Cm, No. 8

a = 7.249 Å, b = 7.249 Å, c = 6.778 Å
α = 87.07°, β = 87.07°, γ = 73.06°
Each line ends with the local moment (μB).
Fractional positions:
Na  0.806  0.270  0.472  0.00
Na  0.351  0.351  0.932  0.00
Na  0.270  0.806  0.472  0.00
Tc  0.033  0.033  0.969  2.32
Cl  0.156  0.156  0.245  0.02
Cl  0.720  0.113  0.127  0.05
Cl  0.961  0.348  0.821  0.05
Cl  0.113  0.720  0.127  0.05
Cl  0.450  0.450  0.569  0.01
Cl  0.348  0.961  0.821  0.05
Cl  0.916  0.916  0.696  0.05



First-principles (GGA-PBE) data for crystalline YSc2W at its relaxed geometry, as listed in Alexandria.

Summary:
**Crystal system**: monoclinic
**Space group**: C2/m, No. 12
**Calculated formation energy**: 0.340 eV/atom

a = 5.270 Å, b = 5.270 Å, c = 5.861 Å
α = 84.06°, β = 84.06°, γ = 33.66°
Fractional positions:
Sc  0.013  0.013  0.966
Sc  0.487  0.487  0.534
W  0.750  0.750  0.750
Y  0.250  0.250  0.250



First-principles (GGA-PBE) data for crystalline Li5YCd6 at its relaxed geometry, as listed in Alexandria.

Summary:
**Crystal system**: monoclinic
**Space group**: P2/m, No. 10
**Calculated formation energy**: -0.244 eV/atom

a = 4.841 Å, b = 7.615 Å, c = 6.961 Å
α = 90.00°, β = 90.00°, γ = 71.34°
Fractional positions:
Y  0.000  0.000  0.000
Li  0.658  0.680  0.500
Li  0.333  0.337  0.000
Li  0.000  0.000  0.500
Li  0.667  0.663  0.000
Li  0.342  0.320  0.500
Cd  0.828  0.349  0.269
Cd  0.828  0.349  0.731
Cd  0.500  0.000  0.725
Cd  0.500  0.000  0.275
Cd  0.172  0.651  0.269
Cd  0.172  0.651  0.731



First-principles (GGA-PBE) data for crystalline BeWCl at its relaxed geometry, as listed in Alexandria.

Summary:
**Crystal system**: orthorhombic
**Energy relative to the elements, uncorrected**: 535 meV/atom
**Space group**: Fmm2, No. 42

a = 6.864 Å, b = 6.492 Å, c = 2.978 Å
α = 84.21°, β = 70.22°, γ = 25.57°
Fractional positions:
Be  0.985  0.985  0.015
W  0.647  0.647  0.353
Cl  0.367  0.367  0.633



First-principles (GGA-PBE) data for crystalline MnAg2I8 at its relaxed geometry, as listed in Alexandria.

Summary:
**Crystal system**: monoclinic
**Energy relative to the elements, uncorrected**: -135 meV/atom
**Space group**: C2/m, No. 12

a = 7.291 Å, b = 8.696 Å, c = 8.696 Å
α = 85.24°, β = 106.53°, γ = 106.53°
Each line ends with the local moment (μB).
Fractional positions:
Mn  0.000  0.000  0.000  3.46
Ag  0.334  0.822  0.822  0.01
Ag  0.666  0.178  0.178  0.01
I  0.827  0.911  0.239  -0.04
I  0.173  0.761  0.089  -0.04
I  0.678  0.779  0.779  -0.04
I  0.322  0.221  0.221  -0.04
I  0.827  0.239  0.911  -0.04
I  0.173  0.089  0.761  -0.04
I  0.201  0.579  0.579  0.02
I  0.799  0.421  0.421  0.02



First-principles (GGA-PBE) data for crystalline NaSr2PaS5 at its relaxed geometry, as listed in Alexandria.

Summary:
**Crystal system**: orthorhombic
**Energy relative to the elements, uncorrected**: -1672 meV/atom
**Space group**: Immm, No. 71

a = 5.147 Å, b = 7.360 Å, c = 8.461 Å
α = 115.78°, β = 107.71°, γ = 90.00°
Fractional positions:
Na  0.000  0.500  0.000
Sr  0.210  0.210  0.421
Sr  0.790  0.790  0.579
Pa  0.500  0.000  0.000
S  0.636  0.897  0.272
S  0.364  0.103  0.728
S  0.364  0.625  0.728
S  0.636  0.375  0.272
S  0.000  0.000  0.000



First-principles (GGA-PBE) data for crystalline Cs3Ce3SnS8 at its relaxed geometry, as listed in Alexandria.

Summary:
**Crystal system**: trigonal
**Energy relative to the elements, uncorrected**: -1540 meV/atom
**Space group**: R-3m, No. 166

a = 8.401 Å, b = 8.403 Å, c = 9.399 Å
α = 116.55°, β = 90.00°, γ = 120.00°
Each line ends with the local moment (μB).
Fractional positions:
Cs  0.000  0.000  0.000  0.00
Cs  0.000  0.500  0.000  0.00
Cs  0.500  0.500  0.000  0.00
Ce  0.500  0.000  0.500  0.42
Ce  0.500  0.500  0.500  0.42
Ce  0.000  0.500  0.500  0.42
Sn  0.000  0.000  0.500  -0.01
S  0.272  0.545  0.317  -0.01
S  0.728  0.455  0.683  -0.01
S  0.768  0.537  0.324  -0.02
S  0.232  0.463  0.676  -0.02
S  0.768  0.055  0.324  -0.02
S  0.232  0.945  0.676  -0.02
S  0.287  0.055  0.324  -0.02
S  0.713  0.945  0.676  -0.02



First-principles (GGA-PBE) data for crystalline TbPr2Tc2N6 at its relaxed geometry, as listed in Alexandria.

Summary:
**Crystal system**: trigonal
**Energy relative to the elements, uncorrected**: -636 meV/atom
**Space group**: R-3m, No. 166

a = 5.778 Å, b = 5.778 Å, c = 6.869 Å
α = 65.13°, β = 65.13°, γ = 60.00°
Fractional positions:
Tb  0.000  0.000  0.000
Pr  0.791  0.791  0.627
Pr  0.209  0.209  0.373
Tc  0.401  0.401  0.798
Tc  0.599  0.599  0.202
N  0.741  0.741  0.292
N  0.227  0.741  0.292
N  0.741  0.227  0.292
N  0.259  0.773  0.708
N  0.773  0.259  0.708
N  0.259  0.259  0.708



First-principles (GGA-PBE) data for crystalline Cs2UIrO6 at its relaxed geometry, as listed in Alexandria.

Summary:
**Crystal system**: tetragonal
**Energy relative to the elements, uncorrected**: -1998 meV/atom
**Space group**: I4/mmm, No. 139

a = 5.837 Å, b = 5.837 Å, c = 7.189 Å
α = 66.04°, β = 66.05°, γ = 90.00°
Each line ends with the local moment (μB).
Fractional positions:
Cs  0.750  0.250  0.500  0.00
Cs  0.250  0.750  0.500  0.00
U  0.000  0.000  0.000  0.15
Ir  0.500  0.500  0.000  1.42
O  0.161  0.161  0.677  0.04
O  0.731  0.731  0.000  0.20
O  0.269  0.731  0.000  0.20
O  0.731  0.269  0.000  0.20
O  0.269  0.269  0.000  0.20
O  0.839  0.839  0.323  0.04



First-principles (GGA-PBE) data for crystalline Nd3AlRu3 at its relaxed geometry, as listed in Alexandria.

Summary:
**Crystal system**: orthorhombic
**Space group**: Cmcm, No. 63
**Calculated formation energy**: -0.323 eV/atom

a = 4.204 Å, b = 5.823 Å, c = 13.655 Å
α = 90.00°, β = 90.00°, γ = 111.16°
Fractional positions:
Nd  0.206  0.412  0.894
Nd  0.794  0.588  0.106
Nd  0.206  0.412  0.606
Nd  0.794  0.588  0.394
Nd  0.493  0.987  0.750
Nd  0.507  0.013  0.250
Al  0.500  0.000  0.000
Al  0.500  0.000  0.500
Ru  0.919  0.838  0.907
Ru  0.081  0.162  0.093
Ru  0.919  0.838  0.593
Ru  0.081  0.162  0.407
Ru  0.788  0.575  0.750
Ru  0.212  0.425  0.250



First-principles (GGA-PBE) data for crystalline TeAs2Pb at its relaxed geometry, as listed in Alexandria.

Summary:
**Crystal system**: trigonal
**Energy relative to the elements, uncorrected**: -58 meV/atom
**Space group**: R3m, No. 160

a = 7.895 Å, b = 7.895 Å, c = 7.895 Å
α = 30.48°, β = 30.48°, γ = 30.48°
Fractional positions:
Pb  0.498  0.498  0.498
As  0.986  0.986  0.986
As  0.267  0.267  0.267
Te  0.749  0.749  0.749



First-principles (GGA-PBE) data for crystalline RbNa2Hg at its relaxed geometry, as listed in Alexandria.

Summary:
**Crystal system**: tetragonal
**Space group**: P4/mmm, No. 123
**Calculated formation energy**: -0.080 eV/atom

a = 4.107 Å, b = 4.107 Å, c = 9.631 Å
α = 90.00°, β = 90.00°, γ = 90.00°
Fractional positions:
Na  0.000  0.000  0.831
Na  0.000  0.000  0.169
Hg  0.500  0.500  0.000
Rb  0.500  0.500  0.500



First-principles (GGA-PBE) data for crystalline TlTc2As at its relaxed geometry, as listed in Alexandria.

Summary:
**Crystal system**: tetragonal
**Space group**: I-42d, No. 122
**Calculated formation energy**: 0.638 eV/atom

a = 4.210 Å, b = 4.210 Å, c = 9.557 Å
α = 77.28°, β = 77.28°, γ = 90.00°
Fractional positions:
As  0.500  0.500  0.000
As  0.250  0.750  0.500
Tl  0.000  0.000  0.000
Tl  0.750  0.250  0.500
Tc  0.522  0.125  0.250
Tc  0.228  0.625  0.250
Tc  0.375  0.478  0.750
Tc  0.875  0.772  0.750



First-principles (GGA-PBE) data for crystalline TbPr14In at its relaxed geometry, as listed in Alexandria.

Summary:
**Crystal system**: tetragonal
**Space group**: P4/mmm, No. 123
**Calculated formation energy**: -0.044 eV/atom

a = 7.315 Å, b = 7.315 Å, c = 10.394 Å
α = 90.00°, β = 90.00°, γ = 90.00°
Fractional positions:
Tb  0.875  0.125  0.000
Pr  0.375  0.625  0.500
Pr  0.875  0.125  0.500
Pr  0.875  0.625  0.000
Pr  0.875  0.625  0.500
Pr  0.375  0.125  0.000
Pr  0.375  0.125  0.500
Pr  0.622  0.872  0.756
Pr  0.622  0.872  0.244
Pr  0.128  0.378  0.756
Pr  0.128  0.378  0.244
Pr  0.127  0.873  0.756
Pr  0.127  0.873  0.244
Pr  0.623  0.377  0.756
Pr  0.623  0.377  0.244
In  0.375  0.625  0.000



V in Å³/atom, matching the order above: 67.734, 32.973, 25.695, 24.660, 30.377, 12.876, 30.911, 22.422, 20.262, 15.524, 46.062, 30.186, 32.814, 15.783, 20.053, 22.267, 28.058, 40.621, 20.117, 34.764